(1)
A relaxed Nb2CoP2 crystal, computed with GGA-PBE.

Values from the calculation:
Symmetry: P4/mbm (127)
ΔE_f: -2.88 eV/f.u.
D(E_F): 8.7 states/eV/cell
Total DFT energy (no corrections): -8.190 eV per atom
V: 14.090 Å³/atom

Cell: 6.3131 6.3131 3.5354 Å, 90.00 90.00 90.00°
Sites, in units of the cell vectors:
P (0.1438, 0.3562, 0.0000)
Co (0.5000, 0.5000, 0.0000)
Nb (0.6632, 0.8368, 0.5000)
Nb (0.1632, 0.6632, 0.5000)
P (0.6438, 0.1438, 0.0000)
P (0.3562, 0.8562, 0.0000)
Co (0.0000, 0.0000, 0.0000)
Nb (0.3368, 0.1632, 0.5000)
Nb (0.8368, 0.3368, 0.5000)
P (0.8562, 0.6438, 0.0000)

***

(2)
A relaxed Nb2Co12P7 crystal, computed with GGA-PBE.

Values from the calculation:
Symmetry: P-6 (174)
ΔE_f: -13.65 eV/f.u.
D(E_F): 20.7 states/eV/cell
Total DFT energy (no corrections): -7.473 eV per atom
V: 11.364 Å³/atom

Cell: 8.8372 8.8372 3.5287 Å, 90.00 90.00 120.00°
Sites, in units of the cell vectors:
Co (0.8743, 0.7866, 0.5000)
Nb (0.6667, 0.3333, 0.5000)
P (0.0000, 0.0000, 0.0000)
P (0.4123, 0.2911, 0.0000)
Co (0.9123, 0.1257, 0.5000)
Nb (0.3333, 0.6667, 0.0000)
Co (0.9358, 0.3751, 0.0000)
Co (0.2134, 0.0877, 0.5000)
Co (0.1644, 0.2817, 0.0000)
P (0.1203, 0.4070, 0.5000)
Co (0.5600, 0.9506, 0.5000)
Co (0.0494, 0.6094, 0.5000)
Co (0.1173, 0.8356, 0.0000)
Co (0.4393, 0.0642, 0.0000)
Co (0.6249, 0.5607, 0.0000)
Co (0.7183, 0.8827, 0.0000)
P (0.7089, 0.1212, 0.0000)
P (0.5930, 0.7133, 0.5000)
P (0.2867, 0.8797, 0.5000)
Co (0.3906, 0.4400, 0.5000)
P (0.8788, 0.5877, 0.0000)

***

(3)
A relaxed Nb2CoP crystal, computed with GGA-PBE.

Values from the calculation:
Symmetry: Cc (9)
ΔE_f: -1.84 eV/f.u.
D(E_F): 4.8 states/eV/cell
Total DFT energy (no corrections): -8.625 eV per atom
V: 14.803 Å³/atom

Cell: 6.4980 6.4981 4.8473 Å, 51.33 51.33 78.56°
Sites, in units of the cell vectors:
Co (0.9170, 0.3469, 0.1797)
P (0.4972, 0.4903, 0.0705)
P (0.2403, 0.7473, 0.5706)
Nb (0.3849, 0.2556, 0.8612)
Nb (0.5924, 0.0155, 0.3886)
Nb (0.0057, 0.6349, 0.3612)
Nb (0.7655, 0.8424, 0.8887)
Co (0.0969, 0.1670, 0.6796)